Record 1
La3Nd6Dy2In: optimized geometry, PBE.

Crystal system = monoclinic
Calculated formation energy = -33 meV per atom
Calculated volume = 403.95 Å³/cell

abc: 6.303 6.303 11.963
angles: 95.17 95.17 120.21
Positions (direct):
Nd (0.079, 0.404, 0.241)
Nd (0.921, 0.596, 0.759)
Nd (0.754, 0.754, 0.243)
Nd (0.596, 0.921, 0.759)
Nd (0.404, 0.079, 0.241)
Nd (0.246, 0.246, 0.757)
La (0.829, 0.171, 0.500)
La (0.500, 0.500, 0.500)
La (0.171, 0.829, 0.500)
Dy (0.334, 0.666, 0.000)
Dy (0.666, 0.334, 0.000)
In (0.000, 0.000, 0.000)

Record 2
LaNdDyIn: optimized geometry, PBE.

Excess energy over the best structure of this formula in the dataset = 51 meV/atom
Crystal system = cubic
Calculated formation energy = -110 meV per atom
Calculated volume = 121.27 Å³/cell

abc: 5.555 5.555 5.556
angles: 119.99 119.99 90.00
Positions (direct):
La (0.750, 0.250, 0.500)
Dy (0.000, 0.000, 0.000)
In (0.250, 0.750, 0.500)
Nd (0.500, 0.500, 0.000)

Record 3
La2Nd6Dy3In: optimized geometry, PBE.

Crystal system = monoclinic
Calculated formation energy = -61 meV per atom
Calculated volume = 398.10 Å³/cell

abc: 6.240 6.240 11.995
angles: 94.99 94.99 120.06
Positions (direct):
Nd (0.916, 0.592, 0.748)
Nd (0.759, 0.759, 0.253)
Nd (0.592, 0.916, 0.748)
Nd (0.084, 0.408, 0.252)
Nd (0.241, 0.241, 0.747)
Nd (0.408, 0.084, 0.252)
Dy (0.167, 0.833, 0.500)
Dy (0.833, 0.167, 0.500)
Dy (0.500, 0.500, 0.500)
La (0.334, 0.666, 0.000)
La (0.666, 0.334, 0.000)
In (0.000, 0.000, 0.000)

Record 4
LaNd2DyIn4: optimized geometry, PBE.

Crystal system = trigonal
Calculated formation energy = -484 meV per atom
Calculated volume = 231.44 Å³/cell

abc: 5.462 5.462 9.497
angles: 73.29 73.29 60.00
Positions (direct):
In (0.377, 0.377, 0.868)
In (0.623, 0.623, 0.132)
In (0.127, 0.127, 0.619)
In (0.873, 0.873, 0.381)
La (0.000, 0.000, 0.000)
Nd (0.249, 0.249, 0.252)
Nd (0.751, 0.751, 0.748)
Dy (0.500, 0.500, 0.500)

Record 5
La2DyInO: optimized geometry, PBE.

Crystal system = tetragonal
Calculated volume = 125.10 Å³/cell
Raw total energy = -5.85 eV/atom

abc: 4.793 5.109 5.109
angles: 90.00 90.00 90.00
Positions (direct):
O (0.000, 0.000, 0.000)
La (0.000, 0.500, 0.000)
La (0.000, 0.000, 0.500)
Dy (0.500, 0.000, 0.000)
In (0.500, 0.500, 0.500)

Record 6
LaDy2InO: optimized geometry, PBE.

Crystal system = tetragonal
Calculated volume = 117.43 Å³/cell
Raw total energy = -5.77 eV/atom

abc: 5.043 4.825 4.825
angles: 90.00 90.00 90.00
Positions (direct):
O (0.000, 0.000, 0.000)
Dy (0.000, 0.000, 0.500)
Dy (0.000, 0.500, 0.000)
In (0.500, 0.500, 0.500)
La (0.500, 0.000, 0.000)